The following is a DFT calculation (GGA-PBE) of a relaxed NaDyAs2O6 crystal.

Summary:
- ΔE_f (raw): -1853.2 meV/atom
- DOS(E_F): 2.10 states/eV/f.u.
- Calculated density: 4.68 g/cm3
- Space-group type: C2/c

Cell lengths 7.0311, 7.0311, 6.8573 Å; angles 108.18, 108.18, 83.90 degrees
Sites, in units of the cell vectors:
Na: 0.2117 0.7883 0.7500
Na: 0.7883 0.2117 0.2500
Dy: 0.4047 0.5953 0.2500
Dy: 0.5953 0.4047 0.7500
As: 0.1231 0.2725 0.7424
As: 0.2725 0.1231 0.2424
As: 0.7275 0.8769 0.7576
As: 0.8769 0.7275 0.2576
O: 0.1076 0.6026 0.2872
O: 0.1409 0.1695 0.4537
O: 0.1695 0.1409 0.9537
O: 0.3020 0.4725 0.8674
O: 0.3974 0.8924 0.2128
O: 0.4725 0.3020 0.3674
O: 0.5275 0.6980 0.6326
O: 0.6026 0.1076 0.7872
O: 0.6980 0.5275 0.1326
O: 0.8305 0.8591 0.0463
O: 0.8591 0.8305 0.5463
O: 0.8924 0.3974 0.7128